DFT (PBE) results for an optimized crystal structure of Li4PrCd.

Properties
- Density: 3.72 g cm⁻³
- Calculated total energy: -13.83 eV/f.u.
- DOS(E_F): 3.94 states/eV per cell
- Formation energy from the elements: -1.83 kcal/mol of atoms

abc: 5.6200 5.6200 5.6200
angles: 60.00 60.00 60.00
Atoms (fractional coordinates):
Pr 0.2500 0.2500 0.2500
Li 0.6271 0.6271 0.1186
Li 0.6271 0.1186 0.6271
Li 0.6271 0.6271 0.6271
Li 0.1186 0.6271 0.6271
Cd 0.0000 0.0000 0.0000

=====

DFT (PBE) results for an optimized crystal structure of Sr2NbS.

Properties
- Density: 3.45 g cm⁻³
- Calculated total energy: -18.21 eV/f.u.
- Formation energy without anion corrections: -0.162 eV per atom
- DOS(E_F): 7.27 states/eV per cell

abc: 11.0321 11.0321 8.1533
angles: 47.43 47.43 90.00
Atoms (fractional coordinates):
Sr 0.4662 0.1250 0.2500
Sr 0.2838 0.6250 0.2500
Sr 0.3750 0.5338 0.7500
Sr 0.8750 0.7162 0.7500
Nb 0.0000 0.0000 0.0000
Nb 0.7500 0.2500 0.5000
S 0.5000 0.5000 0.0000
S 0.2500 0.7500 0.5000

=====

DFT (PBE) results for an optimized crystal structure of Dy2YScSe4.

Properties
- Density: 6.93 g cm⁻³
- Calculated total energy: -49.55 eV/f.u.
- Formation energy without anion corrections: -1.702 eV per atom
- DOS(E_F): 4.99 states/eV per cell

abc: 3.9970 7.0023 7.0120
angles: 70.97 90.00 90.00
Atoms (fractional coordinates):
Dy 0.0000 0.0000 0.0000
Dy 0.5000 0.0000 0.5000
Y 0.0000 0.5000 0.5000
Sc 0.5000 0.5000 0.0000
Se 0.0000 0.7404 0.7602
Se 0.0000 0.2596 0.2398
Se 0.5000 0.7456 0.2443
Se 0.5000 0.2544 0.7557

=====

DFT (PBE) results for an optimized crystal structure of Ho5CoTe2.

Properties
- Density: 6.93 g cm⁻³
- Calculated total energy: -39.56 eV/f.u.
- Formation energy without anion corrections: -0.410 eV per atom
- DOS(E_F): 14.18 states/eV per cell

abc: 4.9770 8.5607 13.3870
angles: 90.00 90.00 106.90
Atoms (fractional coordinates):
Ho 0.8999 0.7999 0.8850
Ho 0.8999 0.7999 0.6150
Ho 0.3089 0.6178 0.4215
Ho 0.3089 0.6178 0.0785
Ho 0.7371 0.4742 0.2500
Ho 0.2629 0.5258 0.7500
Ho 0.6911 0.3822 0.5785
Ho 0.6911 0.3822 0.9215
Ho 0.1001 0.2001 0.1150
Ho 0.1001 0.2001 0.3850
Co 0.7836 0.5673 0.7500
Co 0.2164 0.4327 0.2500
Te 0.9132 0.8263 0.3842
Te 0.9132 0.8263 0.1158
Te 0.0868 0.1737 0.6158
Te 0.0868 0.1737 0.8842

=====

DFT (PBE) results for an optimized crystal structure of YAlCd3.

Properties
- Density: 3.69 g cm⁻³
- Calculated total energy: -8.44 eV/f.u.
- DOS(E_F): 9.18 states/eV per cell
- Formation energy from the elements: 20.82 kcal/mol of atoms

abc: 5.8866 5.8866 5.8866
angles: 90.00 90.00 90.00
Atoms (fractional coordinates):
Y 0.0000 0.0000 0.0000
Al 0.5000 0.5000 0.5000
Cd 0.0000 0.5000 0.0000
Cd 0.0000 0.0000 0.5000
Cd 0.5000 0.0000 0.0000

=====

DFT (PBE) results for an optimized crystal structure of La2GaSi3Rh4.

Properties
- Density: 7.78 g cm⁻³
- Calculated total energy: -68.55 eV/f.u.
- Formation energy without anion corrections: -0.999 eV per atom
- DOS(E_F): 6.46 states/eV per cell

abc: 4.2341 4.2341 10.0427
angles: 90.00 90.00 90.00
Atoms (fractional coordinates):
La 0.5000 0.0000 0.2535
La 0.0000 0.5000 0.7465
Ga 0.5000 0.5000 0.5000
Si 0.0000 0.0000 0.5000
Si 0.5000 0.0000 0.8755
Si 0.0000 0.5000 0.1245
Rh 0.5000 0.5000 0.0000
Rh 0.0000 0.0000 0.0000
Rh 0.5000 0.0000 0.6336
Rh 0.0000 0.5000 0.3664